1.
{
  "formula": "La5PrNd7",
  "functional": "PBE",
  "state": "optimized geometry",
  "crystal_system": "orthorhombic",
  "space_group": "Imm2, No. 44",
  "final_energy_ev_per_atom": -4.63,
  "n_ef_per_ev_cell": 21.12,
  "delta_e_f_mev_per_atom": 202,
  "cell": [[6.9842, 0.0000, 0.0000], [3.4921, 8.2539, 0.3715], [3.4921, 0.3448, 8.2551]],
  "species": ["La", "La", "La", "La", "La", "Nd", "Nd", "Nd", "Nd", "Nd", "Nd", "Nd", "Pr"],
  "fractional_positions": [[0.4430, 0.5591, 0.0023], [0.4430, 0.0023, 0.5591], [0.9956, 0.0023, 0.5591], [0.7674, 0.7326, 0.7326], [0.9956, 0.5591, 0.0023], [0.4841, 0.1863, 0.8455], [0.7221, 0.2779, 0.2779], [0.2489, 0.2511, 0.2511], [0.9836, 0.6937, 0.3392], [0.4288, 0.5712, 0.5712], [0.9836, 0.3392, 0.6937], [0.4841, 0.8455, 0.1863], [0.0202, 0.9798, 0.9798]]
}

2.
{
  "formula": "K2CdInO4",
  "functional": "PBE",
  "state": "optimized geometry",
  "crystal_system": "monoclinic",
  "space_group": "P2/m, No. 10",
  "final_energy_ev_per_atom": -4.45,
  "e_form_raw_ev_per_atom": -1.243,
  "n_ef_per_ev_cell": 3.47,
  "cell": [[-0.5039, -3.2977, -0.7066], [4.1263, -1.4798, 3.9636], [-5.6753, 0.2080, 3.0766]],
  "species": ["O", "O", "O", "O", "Cd", "K", "K", "In"],
  "fractional_positions": [[0.5000, 0.2428, 0.1912], [0.5000, 0.7572, 0.8088], [0.0000, 0.7201, 0.1901], [0.0000, 0.2799, 0.8099], [0.0000, 0.0000, 0.0000], [0.5000, 0.0000, 0.5000], [0.0000, 0.5000, 0.5000], [0.5000, 0.5000, 0.0000]]
}